#A
Here is a relaxed structure of MnTe2IBr from Alexandria via LeMat-Bulk. Energies are from PBE-GGA.

Values from the calculation:
For the mass density, the calculation gives 4.7 Mg/m³.

Cell: 5.672 5.672 5.732 Å, 90.00 90.00 90.00°
Space group P4/mmm (No. 123)
Unique sites:
1 Mn 0.000 0.000 0.000 [1 per cell]
2 Te 0.000 0.500 0.500 [2 per cell]
3 I 0.500 0.500 0.000 [1 per cell]
4 Br 0.500 0.500 0.500 [1 per cell]



#B
Here is a relaxed structure of MnTe2IBr from Alexandria via LeMat-Bulk. Energies are from PBE-GGA.

Values from the calculation:
For the mass density, the calculation gives 6.2 Mg/m³.

Cell: 5.007 5.007 5.506 Å, 90.00 90.00 90.00°
Space group P4/mmm (No. 123)
Unique sites:
1 Mn 0.000 0.000 0.000 [1 per cell]
2 Te 0.000 0.500 0.000 [2 per cell]
3 I 0.000 0.000 0.500 [1 per cell]
4 Br 0.500 0.500 0.500 [1 per cell]



Most stable one: #B, least stable one: #A.



#A
Here is a relaxed structure of MnTeI2Br from Alexandria via LeMat-Bulk. Energies are from PBE-GGA.

Values from the calculation:
For the mass density, the calculation gives 6.0 Mg/m³.

Cell: 5.385 5.385 4.949 Å, 90.00 90.00 90.00°
Space group P4/mmm (No. 123)
Unique sites:
1 Mn 0.000 0.000 0.000 [1 per cell]
2 Te 0.000 0.000 0.500 [1 per cell]
3 I 0.000 0.500 0.000 [2 per cell]
4 Br 0.500 0.500 0.500 [1 per cell]



#B
Here is a relaxed structure of MnTeI2Br from Alexandria via LeMat-Bulk. Energies are from PBE-GGA.

Values from the calculation:
For the mass density, the calculation gives 4.4 Mg/m³.

Cell: 5.784 5.784 5.879 Å, 90.00 90.00 90.00°
Space group P4/mmm (No. 123)
Unique sites:
1 Mn 0.000 0.000 0.000 [1 per cell]
2 Te 0.500 0.500 0.000 [1 per cell]
3 I 0.000 0.500 0.500 [2 per cell]
4 Br 0.500 0.500 0.500 [1 per cell]



Most stable one: #A, least stable one: #B.



#A
Here is a relaxed structure of MnTlIBr2 from Alexandria via LeMat-Bulk. Energies are from PBE-GGA.

Values from the calculation:
For the mass density, the calculation gives 4.3 Mg/m³.

Cell: 8.224 5.718 9.306 Å, 90.00 105.92 90.00°
Space group P2_1/m (No. 11)
Unique sites:
1 Mn 0.077 0.250 0.156 [2 per cell]
2 Tl 0.290 0.250 0.625 [2 per cell]
3 I 0.411 0.250 0.291 [2 per cell]
4 Br 0.044 0.750 0.125 [2 per cell]
5 Br 0.081 0.750 0.652 [2 per cell]



#B
Here is a relaxed structure of MnTlIBr2 from Alexandria via LeMat-Bulk. Energies are from PBE-GGA.

Values from the calculation:
For the mass density, the calculation gives 5.5 Mg/m³.

Cell: 5.301 5.301 5.862 Å, 90.00 90.00 90.00°
Space group P4/mmm (No. 123)
Unique sites:
1 Mn 0.000 0.000 0.000 [1 per cell]
2 Tl 0.500 0.500 0.500 [1 per cell]
3 I 0.000 0.000 0.500 [1 per cell]
4 Br 0.000 0.500 0.000 [2 per cell]



Most stable one: #A, least stable one: #B.



#A
Here is a relaxed structure of Mo3IBr from Alexandria via LeMat-Bulk. Energies are from PBE-GGA.

Values from the calculation:
For the mass density, the calculation gives 6.7 Mg/m³.

Cell: 4.968 4.968 4.968 Å, 90.00 90.00 90.00°
Space group Pm-3m (No. 221)
Unique sites:
1 Mo 0.000 0.000 0.500 [3 per cell]
2 I 0.000 0.000 0.000 [1 per cell]
3 Br 0.500 0.500 0.500 [1 per cell]



#B
Here is a relaxed structure of Mo3IBr from Alexandria via LeMat-Bulk. Energies are from PBE-GGA.

Values from the calculation:
For the mass density, the calculation gives 7.8 Mg/m³.

Cell: 4.716 4.716 4.716 Å, 90.00 90.00 90.00°
Space group Pm-3m (No. 221)
Unique sites:
1 Mo 0.000 0.000 0.500 [3 per cell]
2 I 0.500 0.500 0.500 [1 per cell]
3 Br 0.000 0.000 0.000 [1 per cell]



Most stable one: #B, least stable one: #A.



#A
Here is a relaxed structure of MoIBr4 from Alexandria via LeMat-Bulk. Energies are from PBE-GGA.

Values from the calculation:
For the mass density, the calculation gives 3.0 Mg/m³.

Cell: 7.646 7.646 10.150 Å, 90.00 90.00 90.00°
Space group I-4 (No. 82)
Unique sites:
1 Mo 0.000 0.000 0.000 [2 per cell]
2 I 0.000 0.500 0.250 [2 per cell]
3 Br 0.224 0.227 0.999 [8 per cell]



#B
Here is a relaxed structure of MoIBr4 from Alexandria via LeMat-Bulk. Energies are from PBE-GGA.

Values from the calculation:
For the mass density, the calculation gives 4.6 Mg/m³.

Cell: 18.036 6.600 6.692 Å, 90.00 96.43 90.00°
Space group C2/m (No. 12)
Unique sites:
1 Mo 0.021 0.000 0.309 [4 per cell]
2 I 0.183 0.500 0.203 [4 per cell]
3 Br 0.000 0.245 0.000 [4 per cell]
4 Br 0.084 0.234 0.587 [8 per cell]
5 Br 0.159 0.000 0.195 [4 per cell]



Most stable one: #B, least stable one: #A.



#A
Here is a relaxed structure of MoI2BrN from Alexandria via LeMat-Bulk. Energies are from PBE-GGA.

Values from the calculation:
For the mass density, the calculation gives 6.0 Mg/m³.

Cell: 5.645 5.645 3.839 Å, 90.00 90.00 90.00°
Space group P4/mmm (No. 123)
Unique sites:
1 Mo 0.000 0.000 0.000 [1 per cell]
2 I 0.000 0.500 0.000 [2 per cell]
3 Br 0.500 0.500 0.500 [1 per cell]
4 N 0.000 0.000 0.500 [1 per cell]



#B
Here is a relaxed structure of MoI2BrN from Alexandria via LeMat-Bulk. Energies are from PBE-GGA.

Values from the calculation:
For the mass density, the calculation gives 5.0 Mg/m³.

Cell: 6.286 6.286 3.733 Å, 90.00 90.00 90.00°
Space group P4/mmm (No. 123)
Unique sites:
1 Mo 0.000 0.000 0.000 [1 per cell]
2 I 0.000 0.500 0.500 [2 per cell]
3 Br 0.500 0.500 0.500 [1 per cell]
4 N 0.500 0.500 0.000 [1 per cell]



Most stable one: #A, least stable one: #B.



#A
Here is a relaxed structure of Te2MoIBr from Alexandria via LeMat-Bulk. Energies are from PBE-GGA.

Values from the calculation:
For the mass density, the calculation gives 6.0 Mg/m³.

Cell: 5.269 5.269 5.551 Å, 90.00 90.00 90.00°
Space group P4/mmm (No. 123)
Unique sites:
1 Te 0.000 0.500 0.000 [2 per cell]
2 Mo 0.000 0.000 0.000 [1 per cell]
3 I 0.000 0.000 0.500 [1 per cell]
4 Br 0.500 0.500 0.500 [1 per cell]



#B
Here is a relaxed structure of Te2MoIBr from Alexandria via LeMat-Bulk. Energies are from PBE-GGA.

Values from the calculation:
For the mass density, the calculation gives 5.1 Mg/m³.

Cell: 5.669 5.669 5.668 Å, 90.00 90.00 90.00°
Space group P4/mmm (No. 123)
Unique sites:
1 Te 0.000 0.500 0.000 [2 per cell]
2 Mo 0.000 0.000 0.500 [1 per cell]
3 I 0.500 0.500 0.500 [1 per cell]
4 Br 0.500 0.500 0.000 [1 per cell]



Most stable one: #A, least stable one: #B.



#A
Here is a relaxed structure of NaIBrN2 from Alexandria via LeMat-Bulk. Energies are from PBE-GGA.

Values from the calculation:
For the mass density, the calculation gives 2.7 Mg/m³.

Cell: 4.296 4.296 8.702 Å, 90.00 90.00 90.00°
Space group P4/mmm (No. 123)
Unique sites:
1 Na 0.000 0.000 0.000 [1 per cell]
2 I 0.500 0.500 0.000 [1 per cell]
3 Br 0.500 0.500 0.500 [1 per cell]
4 N 0.000 0.500 0.500 [2 per cell]



#B
Here is a relaxed structure of NaIBrN2 from Alexandria via LeMat-Bulk. Energies are from PBE-GGA.

Values from the calculation:
For the mass density, the calculation gives 2.9 Mg/m³.

Cell: 4.698 4.698 6.639 Å, 90.00 90.00 90.00°
Space group P4/mmm (No. 123)
Unique sites:
1 Na 0.000 0.000 0.000 [1 per cell]
2 I 0.000 0.000 0.500 [1 per cell]
3 Br 0.500 0.500 0.500 [1 per cell]
4 N 0.000 0.500 0.000 [2 per cell]



Most stable one: #A, least stable one: #B.